VASP calculation (PBE+U) on a relaxed structure of CoNi2BrO.

Computed properties:
N(E_F): 1.3 states/eV/f.u.
density: 6.5 g cm⁻³
volume: 13.91 Å³/atom
E_tot: -3.342 eV per atom

Cell lengths 4.0611, 4.0611, 4.2167 Å; angles 90.00, 90.00, 90.00 degrees
Positions (direct):
Co (0.0000, 0.0000, 0.0000)
Ni (0.0000, 0.5000, 0.5000)
Ni (0.5000, 0.0000, 0.5000)
Br (0.5000, 0.5000, 0.0000)
O (0.0000, 0.0000, 0.5000)